(1)
The following is a DFT calculation (PBEsol) of a geometry-optimized Li2FeSiO4 structure.

Distance to the lowest polymorph of the same formula   1.3 kJ per mole of atoms
Space-group type   C222_1, No. 20
Spin magnetization   4.000 μB per formula unit

Unit cell a=5.3026 b=5.3026 c=6.1095 alpha=90.00 beta=90.00 gamma=92.80
Element x y z (fractional)
Li 0.1876 0.8124 0.7500
Li 0.3235 0.3235 0.0000
Li 0.6765 0.6765 0.5000
Li 0.8124 0.1876 0.2500
Fe 0.1773 0.8227 0.2500
Fe 0.8227 0.1773 0.7500
Si 0.3188 0.3188 0.5000
Si 0.6812 0.6812 0.0000
O 0.1891 0.1975 0.2765
O 0.1975 0.1891 0.7235
O 0.2893 0.6268 0.4994
O 0.3732 0.7107 0.0006
O 0.6268 0.2893 0.5006
O 0.7107 0.3732 0.9994
O 0.8025 0.8109 0.2235
O 0.8109 0.8025 0.7765

(2)
The following is a DFT calculation (PBEsol) of a geometry-optimized LiFeSiO4 structure.

Distance to the lowest polymorph of the same formula   2.8 kJ per mole of atoms
Space-group type   Pnma, No. 62
Spin magnetization   5.028 μB per formula unit

Unit cell a=10.0696 b=5.8212 c=4.7579 alpha=90.00 beta=90.00 gamma=90.00
Element x y z (fractional)
Li 0.0000 0.0000 0.0000
Li 0.0000 0.5000 0.0000
Li 0.5000 0.0000 0.5000
Li 0.5000 0.5000 0.5000
Fe 0.2265 0.2500 0.4924
Fe 0.2735 0.7500 0.9924
Fe 0.7265 0.2500 0.0076
Fe 0.7735 0.7500 0.5076
Si 0.0933 0.7500 0.4417
Si 0.4067 0.2500 0.9417
Si 0.5933 0.7500 0.0583
Si 0.9067 0.2500 0.5583
O 0.0574 0.2500 0.6882
O 0.1010 0.7500 0.7811
O 0.1709 0.5333 0.2847
O 0.1709 0.9667 0.2847
O 0.3291 0.0333 0.7847
O 0.3291 0.4667 0.7847
O 0.3990 0.2500 0.2811
O 0.4426 0.7500 0.1882
O 0.5574 0.2500 0.8118
O 0.6010 0.7500 0.7189
O 0.6709 0.5333 0.2153
O 0.6709 0.9667 0.2153
O 0.8291 0.0333 0.7153
O 0.8291 0.4667 0.7153
O 0.8990 0.2500 0.2189
O 0.9426 0.7500 0.3118

Summary of DOS at the Fermi energy in states/eV per cell
9.639 2.011
(order as listed above)
Summary of raw total energy in eV/cell
-112.7 -208.6
(order as listed above)
Summary of formation energy (no corrections) in kcal/mol of atoms
-48.2 -47.7
(order as listed above)